# CrAsRh2 | the Alexandria database | PBE-GGA | relaxed
# Magnetization: 2.23 μB per formula unit
# Electronic total energy: -29.39 eV for the cell shown
# E_form: -103 meV/atom
data_CrAsRh2
_cell_length_a 4.715
_cell_length_b 4.715
_cell_length_c 4.715
_cell_angle_alpha 131.99
_cell_angle_beta 131.99
_cell_angle_gamma 70.25
_space_group_name_H-M_alt 'P 1'
_space_group_IT_number 1
loop_
_space_group_symop_operation_xyz
'x,y,z'
loop_
_atom_site_label
_atom_site_type_symbol
_atom_site_fract_x
_atom_site_fract_y
_atom_site_fract_z
As1 As 0.500 0.500 0.000
Rh1 Rh 0.000 0.000 0.000
Rh2 Rh 0.250 0.750 0.500
Cr1 Cr 0.750 0.250 0.500